MnV3Pb2O8 after structural relaxation. Source: the Alexandria database, functional PBE with a Hubbard U.

V	14.98	A^3/atom
magnetization	10.00	μB/f.u.
uncorrected energy	-300.691	eV/cell
density	5.9	Mg/m³

a = 6.1749 Å, b = 6.1749 Å, c = 19.0550 Å
α = 90.00°, β = 90.00°, γ = 120.00°
Closest atoms and distances in Å follow each position.
Space group R3m (No. 160, hexagonal axes)
One atom of each set of equivalent atoms:
Mn  0.0000  0.0000  0.0000 (multiplicity 3)  3 O 2.02
V  0.0005  0.5003  0.9572 (multiplicity 9)  6 O 2.02-2.08
Pb  0.0000  0.0000  0.4423 (multiplicity 3)  3 O 2.31
Pb  0.0000  0.0000  0.8319 (multiplicity 3)  3 O 2.29
O  0.0000  0.0000  0.2401 (multiplicity 3)  3 V 2.02
O  0.0000  0.0000  0.6740 (multiplicity 3)  3 V 2.03
O  0.0037  0.5019  0.2390 (multiplicity 9)  2 V 2.03
O  0.1850  0.3701  0.0208 (multiplicity 9)  1 Mn 2.02, 2 V 2.08